Record 1
PmSi3Pd3 after structural relaxation. Source: Alexandria, functional PBE.

Cell and atoms, written as POSCAR:
```
PmSi3Pd3
1.0
6.593 0.000 0.000
0.000 6.593 0.000
0.000 0.000 6.593
Si Pm Pd
6 2 6
Direct
0.250 0.500 0.000
0.500 0.000 0.750
0.500 0.000 0.250
0.750 0.500 0.000
0.000 0.750 0.500
0.000 0.250 0.500
0.000 0.000 0.000
0.500 0.500 0.500
0.750 0.000 0.500
0.000 0.500 0.250
0.250 0.000 0.500
0.500 0.250 0.000
0.500 0.750 0.000
0.000 0.500 0.750
```

Its space-group type is Pm-3n (223). For the energy relative to the lowest polymorph listed for this composition, the calculation gives 0.90 eV per formula unit. The calculation puts the final energy at -5.644 eV per atom. Its formation energy without anion corrections is -416 meV/atom. The value obtained for the density of states at the Fermi level is 9.70 states/eV per cell.



Record 2
ZnBrO4 after structural relaxation. Source: Alexandria, functional PBE.

Cell and atoms, written as POSCAR:
```
ZnBrO4
1.0
-2.509 4.969 -5.573
-5.041 -2.019 -0.007
-2.337 5.811 6.234
Br O Zn
4 16 4
Direct
0.147 0.816 0.117
0.353 0.684 0.617
0.647 0.316 0.383
0.853 0.184 0.883
0.582 0.939 0.977
0.261 0.963 0.667
0.140 0.977 0.283
0.939 0.764 0.078
0.418 0.061 0.023
0.061 0.236 0.922
0.439 0.264 0.422
0.640 0.477 0.217
0.860 0.023 0.717
0.739 0.037 0.333
0.918 0.561 0.477
0.360 0.523 0.783
0.561 0.736 0.578
0.082 0.439 0.523
0.761 0.463 0.833
0.239 0.537 0.167
0.195 0.318 0.343
0.695 0.818 0.157
0.305 0.182 0.843
0.805 0.682 0.657
```

Its space-group type is P2_1/c (14). For the energy relative to the lowest polymorph listed for this composition, the calculation gives 0.00 eV per formula unit. The calculation puts the final energy at -3.970 eV per atom. Its formation energy without anion corrections is -174 meV/atom.



Record 3
Nd2ErTh after structural relaxation. Source: Alexandria, functional PBE.

Cell and atoms, written as POSCAR:
```
Nd2ErTh
1.0
-1.911 2.111 2.251
-3.622 -0.223 0.060
-1.202 -7.610 9.042
Nd Th Er
2 1 1
Direct
0.251 0.251 0.248
0.083 0.083 0.752
0.667 0.667 0.000
0.500 0.500 0.499
```

Its space-group type is R3m (160). For the energy relative to the lowest polymorph listed for this composition, the calculation gives 0.00 eV per formula unit. The calculation puts the final energy at -5.348 eV per atom. The calculated formation energy is 31.8 meV per atom. The value obtained for the density of states at the Fermi level is 6.31 states/eV per cell.



Record 4
NaIn2Au5 after structural relaxation. Source: Alexandria, functional PBE.

Cell and atoms, written as POSCAR:
```
NaIn2Au5
1.0
4.148 0.000 0.000
2.074 7.031 1.465
2.074 2.732 6.642
Au In Na
5 2 1
Direct
0.385 0.835 0.394
0.385 0.394 0.835
0.615 0.606 0.165
0.615 0.165 0.606
0.000 0.500 0.500
0.770 0.730 0.730
0.230 0.270 0.270
0.000 0.000 0.000
```

Its space-group type is Immm (71). The calculation puts the final energy at -3.078 eV per atom. The calculated formation energy is -179.9 meV per atom. The value obtained for the density of states at the Fermi level is 2.41 states/eV per cell.



Record 5
CdAgIr2 after structural relaxation. Source: Alexandria, functional PBE.

Cell and atoms, written as POSCAR:
```
CdAgIr2
1.0
2.791 0.000 0.000
0.000 2.791 0.000
0.000 0.000 8.509
Ir Cd Ag
2 1 1
Direct
0.000 0.000 0.497
0.000 0.000 0.003
0.500 0.500 0.750
0.500 0.500 0.250
```

Its space-group type is P4/mmm (123). The calculation puts the final energy at -4.902 eV per atom. The calculated formation energy is 469.9 meV per atom. The value obtained for the density of states at the Fermi level is 5.99 states/eV per cell.



Record 6
RbGdHg2 after structural relaxation. Source: Alexandria, functional PBE.

Cell and atoms, written as POSCAR:
```
RbGdHg2
1.0
-2.413 -2.318 1.888
2.842 -2.532 0.524
2.114 3.932 7.529
Hg Rb Gd
2 1 1
Direct
0.000 0.000 0.803
0.000 0.000 0.197
0.500 0.500 0.500
0.500 0.500 0.000
```

Its space-group type is P4/mmm (123). For the energy relative to the lowest polymorph listed for this composition, the calculation gives 0.00 eV per formula unit. The calculation puts the final energy at -4.184 eV per atom. The calculated formation energy is -271.5 meV per atom. The value obtained for the density of states at the Fermi level is 4.03 states/eV per cell.



Record 7
PmErF after structural relaxation. Source: Alexandria, functional PBE.

Cell and atoms, written as POSCAR:
```
PmErF
1.0
-2.993 -1.499 -0.182
1.553 -3.770 5.514
-0.410 3.820 6.168
Er Pm F
2 2 2
Direct
0.337 0.781 0.673
0.663 0.219 0.327
0.609 0.775 0.219
0.391 0.225 0.781
0.102 0.477 0.203
0.898 0.523 0.797
```

Its space-group type is C2/m (12). The calculation puts the final energy at -5.142 eV per atom. Its formation energy without anion corrections is -1414 meV/atom. The value obtained for the density of states at the Fermi level is 6.74 states/eV per cell.



Record 8
PaBiH2 after structural relaxation. Source: Alexandria, functional PBE.

Cell and atoms, written as POSCAR:
```
PaBiH2
1.0
3.875 0.000 0.000
-1.937 5.826 0.000
0.000 0.000 6.088
Bi H Pa
2 4 2
Direct
0.066 0.133 0.750
0.934 0.867 0.250
0.691 0.381 0.064
0.691 0.381 0.436
0.309 0.619 0.936
0.309 0.619 0.564
0.788 0.577 0.750
0.212 0.423 0.250
```

Its space-group type is Cmcm (63). For the energy relative to the lowest polymorph listed for this composition, the calculation gives 0.24 eV per formula unit. The calculation puts the final energy at -5.298 eV per atom. The value obtained for the density of states at the Fermi level is 6.70 states/eV per cell.



Total magnetic moment across the listed records, respectively: 0.0 0.1 0.0 0.0 0.9 7.5 0.0 0.6 μB/cell.